# 1
Crystalline Co2S3O12 at its relaxed geometry. Source: Alexandria via LeMat-Bulk, functional GGA-PBEsol.

abc: 8.577 8.577 8.577
angles: 59.41 59.41 59.41
Fractional coordinates of all 34 atoms:
Co  0.358  0.358  0.358
Co  0.142  0.142  0.142
Co  0.642  0.642  0.642
Co  0.858  0.858  0.858
S  0.750  0.041  0.459
S  0.959  0.541  0.250
S  0.541  0.250  0.959
S  0.459  0.750  0.041
S  0.041  0.459  0.750
S  0.250  0.959  0.541
O  0.915  0.062  0.278
O  0.722  0.085  0.938
O  0.880  0.493  0.704
O  0.007  0.620  0.796
O  0.585  0.222  0.438
O  0.778  0.562  0.415
O  0.938  0.722  0.085
O  0.204  0.993  0.380
O  0.507  0.296  0.120
O  0.296  0.120  0.507
O  0.380  0.204  0.993
O  0.562  0.415  0.778
O  0.438  0.585  0.222
O  0.704  0.880  0.493
O  0.620  0.796  0.007
O  0.796  0.007  0.620
O  0.493  0.704  0.880
O  0.062  0.278  0.915
O  0.222  0.438  0.585
O  0.415  0.778  0.562
O  0.120  0.507  0.296
O  0.993  0.380  0.204
O  0.278  0.915  0.062
O  0.085  0.938  0.722

Energy above the lowest structure with this stoichiometry (eV/atom): 0.000
ΔE_f (raw) (kJ per mole of atoms): -108.7
N(E_F) (states/eV per cell): 17.37
Total energy (eV/cell): -221.5
Crystal system: trigonal

***

# 2
Crystalline Co2S2O at its relaxed geometry. Source: Alexandria via LeMat-Bulk, functional GGA-PBEsol.

abc: 2.795 6.318 6.318
angles: 90.00 90.00 90.00
Fractional coordinates of all 10 atoms:
S  0.000  0.342  0.842
S  0.000  0.842  0.658
S  0.000  0.658  0.158
S  0.000  0.158  0.342
Co  0.500  0.133  0.633
Co  0.500  0.633  0.867
Co  0.500  0.867  0.367
Co  0.500  0.367  0.133
O  0.000  0.000  0.000
O  0.000  0.500  0.500

ΔE_f (raw) (kJ per mole of atoms): 30.6
N(E_F) (states/eV per cell): 11.19
Total energy (eV/cell): -55.8
Crystal system: tetragonal